1.
# CsBa3In

Crystalline CsBa3In at its relaxed geometry (GGA-PBE, Alexandria via LeMat-Bulk).

a = 6.469 Å, b = 6.469 Å, c = 6.469 Å
α = 90.00°, β = 90.00°, γ = 90.00°
Positions (direct):
Cs 0.000 0.000 0.000
Ba 0.000 0.500 0.000
Ba 0.000 0.000 0.500
Ba 0.500 0.000 0.000
In 0.500 0.500 0.500

raw total energy = -1.2226 eV per atom
energy above the most stable polymorph in this dataset = 688 meV/atom
calculated volume = 54.14 Å³/atom
calculated formation energy = 0.649 eV/atom
crystal system = cubic

2.
# BaTlS2

Crystalline BaTlS2 at its relaxed geometry (GGA-PBE, Alexandria via LeMat-Bulk).

a = 4.041 Å, b = 7.433 Å, c = 15.199 Å
α = 90.00°, β = 90.00°, γ = 90.00°
Positions (direct):
Ba 0.250 0.488 0.648
Ba 0.750 0.512 0.352
Ba 0.250 0.988 0.852
Ba 0.750 0.012 0.148
Tl 0.250 0.497 0.894
Tl 0.750 0.503 0.106
Tl 0.250 0.997 0.606
Tl 0.750 0.003 0.394
S 0.250 0.695 0.211
S 0.750 0.305 0.789
S 0.250 0.195 0.289
S 0.750 0.805 0.711
S 0.250 0.747 0.472
S 0.750 0.253 0.528
S 0.250 0.247 0.028
S 0.750 0.753 0.972

raw total energy = -4.1474 eV per atom
formation energy without anion corrections = -1.011 eV per atom
calculated volume = 28.53 Å³/atom
crystal system = orthorhombic

3.
# CaOsN2F

Crystalline CaOsN2F at its relaxed geometry (GGA-PBE, Alexandria via LeMat-Bulk).

a = 3.811 Å, b = 3.811 Å, c = 4.776 Å
α = 90.00°, β = 90.00°, γ = 90.00°
Positions (direct):
Ca 0.500 0.500 0.500
N 0.000 0.500 0.000
N 0.500 0.000 0.000
Os 0.000 0.000 0.000
F 0.000 0.000 0.500

raw total energy = -6.9874 eV per atom
energy above the most stable polymorph in this dataset = 0 meV/atom
formation energy without anion corrections = -0.637 eV per atom
calculated volume = 13.87 Å³/atom
crystal system = tetragonal

4.
# Al5W

Crystalline Al5W at its relaxed geometry (GGA-PBE, Alexandria via LeMat-Bulk).

a = 5.077 Å, b = 5.077 Å, c = 5.077 Å
α = 60.00°, β = 60.00°, γ = 60.00°
Positions (direct):
Al 0.250 0.250 0.250
Al 0.626 0.626 0.626
Al 0.626 0.626 0.123
Al 0.123 0.626 0.626
Al 0.626 0.123 0.626
W 0.000 0.000 0.000

raw total energy = -5.2332 eV per atom
calculated volume = 15.42 Å³/atom
calculated formation energy = 0.044 eV/atom
crystal system = cubic

5.
# Ca2CdGa2

Crystalline Ca2CdGa2 at its relaxed geometry (GGA-PBE, Alexandria via LeMat-Bulk).

a = 3.784 Å, b = 3.784 Å, c = 9.741 Å
α = 78.80°, β = 78.80°, γ = 90.00°
Positions (direct):
Ca 0.393 0.393 0.213
Ca 0.607 0.607 0.787
Ga 0.750 0.250 0.500
Ga 0.250 0.750 0.500
Cd 0.000 0.000 0.000

raw total energy = -2.4171 eV per atom
calculated volume = 26.83 Å³/atom
calculated formation energy = -0.223 eV/atom
crystal system = tetragonal

6.
# SmScZn4

Crystalline SmScZn4 at its relaxed geometry (GGA-PBE, Alexandria via LeMat-Bulk).

a = 4.444 Å, b = 5.586 Å, c = 5.586 Å
α = 77.82°, β = 66.56°, γ = 66.56°
Positions (direct):
Sm 0.540 0.460 0.460
Sc 0.476 0.024 0.024
Zn 0.161 0.639 0.039
Zn 0.831 0.871 0.466
Zn 0.831 0.466 0.871
Zn 0.161 0.039 0.639

raw total energy = -3.0375 eV per atom
energy above the most stable polymorph in this dataset = 0 meV/atom
calculated volume = 19.41 Å³/atom
calculated formation energy = -0.346 eV/atom
crystal system = orthorhombic